(1)
The following is a PBE-GGA calculation of an optimized crystal structure of Er6PtSe4, from Alexandria via LeMat-Bulk.

Values from the calculation:
calculated total energy	-5.8155	eV per atom
raw formation energy	-1510	meV per atom

```
data_Er6PtSe4
_cell_length_a 3.9306
_cell_length_b 13.2211
_cell_length_c 20.5752
_cell_angle_alpha 90.00
_cell_angle_beta 90.00
_cell_angle_gamma 90.00
_symmetry_space_group_name_H-M 'C m c m'
_symmetry_Int_Tables_number 63
_symmetry_space_group_name_Hall '-C 2c 2'
loop_
_atom_site_label
_atom_site_fract_x
_atom_site_fract_y
_atom_site_fract_z
Er1 0.0000 0.0000 0.0000
Er2 0.0000 0.1768 0.2500
Er3 0.0000 0.2707 0.5969
Er4 0.0000 0.4349 0.1692
Pt1 0.0000 0.1687 0.7500
Se1 0.0000 0.0814 0.1252
Se2 0.0000 0.3567 0.0368
```

=====

(2)
The following is a PBE-GGA calculation of an optimized crystal structure of ErPtSe2, from Alexandria via LeMat-Bulk.

Values from the calculation:
calculated total energy	-4.7515	eV per atom
raw formation energy	-358	meV per atom

```
data_ErPtSe2
_cell_length_a 3.7794
_cell_length_b 3.7794
_cell_length_c 24.8769
_cell_angle_alpha 90.00
_cell_angle_beta 90.00
_cell_angle_gamma 120.00
_symmetry_space_group_name_H-M 'R -3 m'
_symmetry_Int_Tables_number 166
_symmetry_space_group_name_Hall '-R 3 2"'
loop_
_atom_site_label
_atom_site_fract_x
_atom_site_fract_y
_atom_site_fract_z
Er1 0.0000 0.0000 0.0000
Pt1 0.0000 0.0000 0.5000
Se1 0.0000 0.0000 0.1129
```

=====

(3)
The following is a PBE-GGA calculation of an optimized crystal structure of Er4PtSe2, from Alexandria via LeMat-Bulk.

Values from the calculation:
calculated total energy	-5.8300	eV per atom
raw formation energy	-1364	meV per atom

```
data_Er4PtSe2
_cell_length_a 3.8653
_cell_length_b 12.9976
_cell_length_c 13.9544
_cell_angle_alpha 90.00
_cell_angle_beta 90.00
_cell_angle_gamma 90.00
_symmetry_space_group_name_H-M 'C m c m'
_symmetry_Int_Tables_number 63
_symmetry_space_group_name_Hall '-C 2c 2'
loop_
_atom_site_label
_atom_site_fract_x
_atom_site_fract_y
_atom_site_fract_z
Er1 0.0000 0.0000 0.0000
Er2 0.0000 0.2911 0.1288
Er3 0.0000 0.4510 0.7500
Pt1 0.0000 0.1078 0.7500
Se1 0.0000 0.3585 0.5643
```

=====

(4)
The following is a PBE-GGA calculation of an optimized crystal structure of Er4PtSe3, from Alexandria via LeMat-Bulk.

Values from the calculation:
calculated total energy	-5.9486	eV per atom
raw formation energy	-1605	meV per atom

```
data_Er4PtSe3
_cell_length_a 8.3136
_cell_length_b 11.6102
_cell_length_c 3.9767
_cell_angle_alpha 90.00
_cell_angle_beta 90.00
_cell_angle_gamma 90.00
_symmetry_space_group_name_H-M 'C m m m'
_symmetry_Int_Tables_number 65
_symmetry_space_group_name_Hall '-C 2 2'
loop_
_atom_site_label
_atom_site_fract_x
_atom_site_fract_y
_atom_site_fract_z
Er1 0.0000 0.2432 0.0000
Er2 0.2306 0.0000 0.5000
Pt1 0.0000 0.0000 0.0000
Se1 0.0000 0.5000 0.0000
Se2 0.2500 0.2500 0.5000
```

=====

(5)
The following is a PBE-GGA calculation of an optimized crystal structure of Er5Pt2Se2, from Alexandria via LeMat-Bulk.

Values from the calculation:
calculated total energy	-6.0100	eV per atom
raw formation energy	-1358	meV per atom

```
data_Er5Pt2Se2
_cell_length_a 14.8771
_cell_length_b 7.5593
_cell_length_c 7.5857
_cell_angle_alpha 90.00
_cell_angle_beta 90.00
_cell_angle_gamma 90.00
_symmetry_space_group_name_H-M 'C m c e'
_symmetry_Int_Tables_number 64
_symmetry_space_group_name_Hall '-C 2ac 2'
loop_
_atom_site_label
_atom_site_fract_x
_atom_site_fract_y
_atom_site_fract_z
Er1 0.0000 0.0000 0.0000
Er2 0.1287 0.1611 0.3438
Pt1 0.0000 0.1393 0.6373
Se1 0.2052 0.0000 0.0000
```

=====

(6)
The following is a PBE-GGA calculation of an optimized crystal structure of Er7PtSe5, from Alexandria via LeMat-Bulk.

Values from the calculation:
calculated total energy	-5.8071	eV per atom
raw formation energy	-1545	meV per atom

```
data_Er7PtSe5
_cell_length_a 3.9355
_cell_length_b 13.2558
_cell_length_c 24.1757
_cell_angle_alpha 90.00
_cell_angle_beta 90.00
_cell_angle_gamma 90.00
_symmetry_space_group_name_H-M 'C m c 21'
_symmetry_Int_Tables_number 36
loop_
_symmetry_equiv_pos_as_xyz
'x,y,z'
'-x,-y,z+1/2'
'-x,y,z'
'x,-y,z+1/2'
'x+1/2,y+1/2,z'
'-x+1/2,-y+1/2,z+1/2'
'-x+1/2,y+1/2,z'
'x+1/2,-y+1/2,z+1/2'
loop_
_atom_site_label
_atom_site_fract_x
_atom_site_fract_y
_atom_site_fract_z
Er1 0.0000 0.0410 0.0000
Er2 0.0000 0.1380 0.7118
Er3 0.0000 0.1393 0.2884
Er4 0.0000 0.2958 0.9313
Er5 0.0000 0.2969 0.0688
Er6 0.0000 0.4081 0.6313
Er7 0.0000 0.4097 0.3683
Pt1 0.0000 0.3055 0.5005
Se1 0.0000 0.0553 0.6063
Se2 0.0000 0.0565 0.3940
Se3 0.0000 0.2196 0.8209
Se4 0.0000 0.2208 0.1793
Se5 0.0000 0.4992 0.7500
```